No. 1
This record from Alexandria via LeMat-Bulk describes an optimized crystal structure of Cs2In2Sn. The functional is PBE.

Calculated values
Symmetry   No. 63
E_tot   -2.320 eV/atom
Excess energy over the best structure of this formula in the dataset   21 kJ/mol of formula units
Fermi-level density of states   5.57 states/eV/cell
DFT formation energy   -0.08 eV/atom

a b c (Å): 7.544 7.544 8.740
angles (deg): 90.00 90.00 72.67
Atoms (fractional coordinates):
Cs (0.193, 0.193, 0.000)
Cs (0.193, 0.193, 0.500)
Cs (0.807, 0.807, 0.000)
Cs (0.807, 0.807, 0.500)
In (0.352, 0.648, 0.591)
In (0.352, 0.648, 0.909)
In (0.648, 0.352, 0.091)
In (0.648, 0.352, 0.409)
Sn (0.319, 0.681, 0.250)
Sn (0.681, 0.319, 0.750)


No. 2
This record from Alexandria via LeMat-Bulk describes an optimized crystal structure of Cs3InSn2. The functional is PBE.

Calculated values
Symmetry   No. 12
E_tot   -2.349 eV/atom
Fermi-level density of states   4.40 states/eV/cell
DFT formation energy   -0.13 eV/atom

a b c (Å): 8.777 8.777 14.568
angles (deg): 93.64 93.64 34.33
Atoms (fractional coordinates):
Cs (0.064, 0.064, 0.337)
Cs (0.225, 0.225, 0.624)
Cs (0.366, 0.366, 0.951)
Cs (0.634, 0.634, 0.049)
Cs (0.775, 0.775, 0.376)
Cs (0.936, 0.936, 0.663)
In (0.404, 0.404, 0.246)
In (0.596, 0.596, 0.754)
Sn (0.116, 0.116, 0.855)
Sn (0.422, 0.422, 0.461)
Sn (0.578, 0.578, 0.539)
Sn (0.884, 0.884, 0.145)


No. 3
This record from Alexandria via LeMat-Bulk describes an optimized crystal structure of CsIn2Sn. The functional is PBE.

Calculated values
Symmetry   No. 123
E_tot   -2.656 eV/atom
Fermi-level density of states   3.00 states/eV/cell
DFT formation energy   -0.07 eV/atom

a b c (Å): 3.968 3.968 8.952
angles (deg): 90.00 90.00 90.00
Atoms (fractional coordinates):
Cs (0.000, 0.000, 0.000)
In (0.500, 0.500, 0.317)
In (0.500, 0.500, 0.683)
Sn (0.000, 0.000, 0.500)


No. 4
This record from Alexandria via LeMat-Bulk describes an optimized crystal structure of CsInSn. The functional is PBE.

Calculated values
Symmetry   No. 2
E_tot   -2.657 eV/atom
Fermi-level density of states   2.05 states/eV/cell
DFT formation energy   -0.13 eV/atom

a b c (Å): 3.734 6.764 9.585
angles (deg): 102.32 100.67 102.27
Atoms (fractional coordinates):
Cs (0.180, 0.301, 0.142)
Cs (0.820, 0.699, 0.858)
In (0.112, 0.738, 0.486)
In (0.888, 0.262, 0.514)
Sn (0.416, 0.128, 0.733)
Sn (0.584, 0.872, 0.267)


No. 5
This record from Alexandria via LeMat-Bulk describes an optimized crystal structure of CsIn3Sn4. The functional is PBE.

Calculated values
Symmetry   No. 123
E_tot   -3.181 eV/atom
Fermi-level density of states   4.25 states/eV/cell
DFT formation energy   -0.05 eV/atom

a b c (Å): 5.576 5.576 8.474
angles (deg): 90.00 90.00 90.00
Atoms (fractional coordinates):
Cs (0.000, 0.000, 0.000)
In (0.000, 0.000, 0.500)
In (0.500, 0.500, 0.177)
In (0.500, 0.500, 0.823)
Sn (0.000, 0.500, 0.324)
Sn (0.000, 0.500, 0.676)
Sn (0.500, 0.000, 0.324)
Sn (0.500, 0.000, 0.676)


No. 6
This record from Alexandria via LeMat-Bulk describes an optimized crystal structure of Cs2In2Sn. The functional is PBE.

Calculated values
Symmetry   No. 15
E_tot   -2.365 eV/atom
Excess energy over the best structure of this formula in the dataset   0 kJ/mol of formula units
Fermi-level density of states   4.16 states/eV/cell
DFT formation energy   -0.13 eV/atom

a b c (Å): 7.607 7.607 9.352
angles (deg): 100.85 100.85 62.47
Atoms (fractional coordinates):
Cs (0.082, 0.253, 0.166)
Cs (0.253, 0.082, 0.666)
Cs (0.747, 0.918, 0.334)
Cs (0.918, 0.747, 0.834)
In (0.274, 0.550, 0.521)
In (0.450, 0.726, 0.979)
In (0.550, 0.274, 0.021)
In (0.726, 0.450, 0.479)
Sn (0.374, 0.626, 0.250)
Sn (0.626, 0.374, 0.750)


No. 7
This record from Alexandria via LeMat-Bulk describes an optimized crystal structure of Cs2In7Sn. The functional is PBE.

Calculated values
Symmetry   No. 115
E_tot   -2.618 eV/atom
Fermi-level density of states   4.35 states/eV/cell
DFT formation energy   -0.13 eV/atom

a b c (Å): 5.148 5.148 12.724
angles (deg): 90.00 90.00 90.00
Atoms (fractional coordinates):
Cs (0.000, 0.500, 0.249)
Cs (0.500, 0.000, 0.751)
In (0.000, 0.000, 0.000)
In (0.000, 0.000, 0.500)
In (0.000, 0.500, 0.631)
In (0.000, 0.500, 0.867)
In (0.500, 0.000, 0.133)
In (0.500, 0.000, 0.369)
In (0.500, 0.500, 0.500)
Sn (0.500, 0.500, 0.000)


No. 8
This record from Alexandria via LeMat-Bulk describes an optimized crystal structure of CsIn4Sn4. The functional is PBE.

Calculated values
Symmetry   No. 137
E_tot   -3.125 eV/atom
Fermi-level density of states   10.03 states/eV/cell
DFT formation energy   -0.03 eV/atom

a b c (Å): 7.642 7.642 10.315
angles (deg): 90.00 90.00 90.00
Atoms (fractional coordinates):
Cs (0.250, 0.750, 0.250)
Cs (0.750, 0.250, 0.750)
In (0.024, 0.250, 0.103)
In (0.250, 0.024, 0.603)
In (0.250, 0.476, 0.603)
In (0.476, 0.250, 0.103)
In (0.524, 0.750, 0.897)
In (0.750, 0.524, 0.397)
In (0.750, 0.976, 0.397)
In (0.976, 0.750, 0.897)
Sn (0.049, 0.250, 0.398)
Sn (0.250, 0.049, 0.898)
Sn (0.250, 0.451, 0.898)
Sn (0.451, 0.250, 0.398)
Sn (0.549, 0.750, 0.602)
Sn (0.750, 0.549, 0.102)
Sn (0.750, 0.951, 0.102)
Sn (0.951, 0.750, 0.602)